1.
Density functional theory data (PBE-GGA) for an optimized crystal structure of LiErTc.

## Properties
As for the formation enthalpy at 0 K: 0.211 eV/atom. The value obtained for the total magnetization is 0.0 μB per formula unit. The value obtained for the density is 7.7 g/cm³.

```
data_LiErTc
_cell_length_a 4.735
_cell_length_b 6.748
_cell_length_c 7.389
_cell_angle_alpha 90.00
_cell_angle_beta 90.00
_cell_angle_gamma 90.00
_symmetry_space_group_name_H-M 'I m m m'
_symmetry_Int_Tables_number 71
_symmetry_space_group_name_Hall '-I 2 2'
loop_
_atom_site_label
_atom_site_type_symbol
_atom_site_fract_x
_atom_site_fract_y
_atom_site_fract_z
Li1 Li 0.000 0.000 0.168
Er1 Er 0.000 0.241 0.500
Tc1 Tc 0.000 0.500 0.153
```



2.
Density functional theory data (PBE-GGA) for an optimized crystal structure of Pm6Al5Tl.

## Properties
As for the formation enthalpy at 0 K: -0.358 eV/atom. The value obtained for the total magnetization is 0.0 μB per formula unit. The value obtained for the density is 6.4 g/cm³.

```
data_Pm6Al5Tl
_cell_length_a 5.282
_cell_length_b 7.475
_cell_length_c 15.833
_cell_angle_alpha 90.00
_cell_angle_beta 90.00
_cell_angle_gamma 90.00
_symmetry_space_group_name_H-M 'I m m m'
_symmetry_Int_Tables_number 71
_symmetry_space_group_name_Hall '-I 2 2'
loop_
_atom_site_label
_atom_site_type_symbol
_atom_site_fract_x
_atom_site_fract_y
_atom_site_fract_z
Pm1 Pm 0.000 0.244 0.000
Pm2 Pm 0.000 0.253 0.331
Al1 Al 0.000 0.000 0.167
Al2 Al 0.000 0.500 0.165
Al3 Al 0.000 0.500 0.500
Tl1 Tl 0.000 0.000 0.500
```



3.
Density functional theory data (PBE-GGA) for an optimized crystal structure of YBeGa2Ru2.

## Properties
As for the formation enthalpy at 0 K: -0.448 eV/atom. The value obtained for the total magnetization is 0.0 μB per formula unit. The value obtained for the density is 7.4 g/cm³.

```
data_YBeGa2Ru2
_cell_length_a 4.295
_cell_length_b 4.295
_cell_length_c 5.378
_cell_angle_alpha 90.00
_cell_angle_beta 90.00
_cell_angle_gamma 90.00
_symmetry_space_group_name_H-M 'P 4/m m m'
_symmetry_Int_Tables_number 123
_symmetry_space_group_name_Hall '-P 4 2'
loop_
_atom_site_label
_atom_site_type_symbol
_atom_site_fract_x
_atom_site_fract_y
_atom_site_fract_z
Y1 Y 0.000 0.000 0.000
Be1 Be 0.000 0.000 0.500
Ga1 Ga 0.500 0.500 0.237
Ru1 Ru 0.000 0.500 0.500
```



4.
Density functional theory data (PBE-GGA) for an optimized crystal structure of AcHo12Er2.

## Properties
As for the formation enthalpy at 0 K: 0.118 eV/atom. The value obtained for the total magnetization is 0.0 μB per formula unit. The value obtained for the density is 8.8 g/cm³.

```
data_AcHo12Er2
_cell_length_a 7.147
_cell_length_b 11.122
_cell_length_c 24.311
_cell_angle_alpha 90.00
_cell_angle_beta 94.17
_cell_angle_gamma 90.00
_symmetry_space_group_name_H-M 'C 1 2/m 1'
_symmetry_Int_Tables_number 12
_symmetry_space_group_name_Hall '-C 2y'
loop_
_atom_site_label
_atom_site_type_symbol
_atom_site_fract_x
_atom_site_fract_y
_atom_site_fract_z
Ac1 Ac 0.250 0.000 0.000
Ho1 Ho 0.020 0.250 0.079
Ho2 Ho 0.113 0.250 0.445
Ho3 Ho 0.142 0.000 0.574
Ho4 Ho 0.142 0.500 0.574
Ho5 Ho 0.166 0.250 0.668
Ho6 Ho 0.198 0.250 0.795
Ho7 Ho 0.213 0.000 0.857
Ho8 Ho 0.213 0.500 0.857
Er1 Er 0.070 0.000 0.275
Er2 Er 0.070 0.500 0.275
```



5.
Density functional theory data (PBE-GGA) for an optimized crystal structure of In2PSe.

## Properties
The value obtained for the total magnetization is 0.0 μB per formula unit. The value obtained for the density is 6.1 g/cm³. The formation energy from raw total energies is -0.23 eV per atom.

```
data_In2PSe
_cell_length_a 4.043
_cell_length_b 4.043
_cell_length_c 5.652
_cell_angle_alpha 90.00
_cell_angle_beta 90.00
_cell_angle_gamma 90.00
_symmetry_space_group_name_H-M 'P 4/m m m'
_symmetry_Int_Tables_number 123
_symmetry_space_group_name_Hall '-P 4 2'
loop_
_atom_site_label
_atom_site_type_symbol
_atom_site_fract_x
_atom_site_fract_y
_atom_site_fract_z
In1 In 0.000 0.000 0.000
In2 In 0.500 0.500 0.500
P1 P 0.000 0.000 0.500
Se1 Se 0.500 0.500 0.000
```